No. 1
Computed, not measured: an optimized crystal structure of BaTlIn2Hg at the PBE level of DFT.

The space group is Imm2 (No. 44) and the conventional cell measures 5.028, 5.041 and 12.443 Å, with angles of 90.00, 90.00 and 90.00 degrees. The inequivalent atoms are Ba at (0.000, 0.000, 0.000), Tl at (0.000, 0.500, 0.743), In at (0.000, 0.000, 0.381), In at (0.000, 0.500, 0.244) and Hg at (0.000, 0.000, 0.607).

The value obtained for the total magnetization is 0.0 Bohr magnetons per cell. The calculation puts the energy of formation at -338 meV per atom.

---

No. 2
Computed, not measured: an optimized crystal structure of Ba2Tl3In4Hg at the PBE level of DFT.

The space group is P-4m2 (No. 115) and the conventional cell measures 5.074, 5.074 and 12.515 Å, with angles of 90.00, 90.00 and 90.00 degrees. The inequivalent atoms are Ba at (0.000, 0.500, 0.244), Tl at (0.000, 0.000, 0.000), Tl at (0.000, 0.500, 0.639), In at (0.000, 0.000, 0.500), In at (0.000, 0.500, 0.872), In at (0.500, 0.500, 0.500) and Hg at (0.500, 0.500, 0.000).

The value obtained for the total magnetization is 0.0 Bohr magnetons per cell. The calculation puts the energy of formation at -292 meV per atom.

---

No. 3
Computed, not measured: an optimized crystal structure of BaTlInHg at the PBE level of DFT.

The space group is F-43m (No. 216) and the conventional cell measures 7.959, 7.959 and 7.959 Å, with angles of 90.00, 90.00 and 90.00 degrees. The inequivalent atoms are Ba at (0.000, 0.000, 0.000), Tl at (0.250, 0.250, 0.750), In at (0.000, 0.000, 0.500) and Hg at (0.250, 0.250, 0.250).

The value obtained for the total magnetization is 0.0 Bohr magnetons per cell. The calculation puts the energy of formation at -350 meV per atom.

---

Which value of energy of formation does entry 3 give?
-350 meV per atom